# 1
# Ba2MnAgOs | the Alexandria database | PBE-GGA | optimized geometry
data_Ba2MnAgOs
_chemical_formula_sum 'Ba2 Mn1 Ag1 Os1'
_cell_length_a 6.102
_cell_length_b 4.951
_cell_length_c 6.102
_cell_angle_alpha 90.00
_cell_angle_beta 90.00
_cell_angle_gamma 90.00
_space_group_name_H-M_alt 'P 1'
_space_group_IT_number 1
loop_
_space_group_symop_operation_xyz
'x,y,z'
loop_
_atom_site_label
_atom_site_type_symbol
_atom_site_fract_x
_atom_site_fract_y
_atom_site_fract_z
_atom_site_occupancy
Mn1 Mn 0.000 0.500 0.000 1
Os1 Os 0.500 0.500 0.500 1
Ba1 Ba 0.000 0.000 0.500 1
Ba2 Ba 0.500 0.000 0.000 1
Ag1 Ag 0.000 0.000 0.000 1
# Electronic total energy = -4.15 eV/atom
# Symmetry = P4/mmm
# DFT formation energy = 6.34 eV per formula unit

# 2
# TlHg2RhPb | the Alexandria database | PBE-GGA | optimized geometry
data_TlHg2RhPb
_chemical_formula_sum 'Tl1 Hg2 Rh1 Pb1'
_cell_length_a 5.329
_cell_length_b 5.329
_cell_length_c 5.154
_cell_angle_alpha 90.00
_cell_angle_beta 90.00
_cell_angle_gamma 90.00
_space_group_name_H-M_alt 'P 1'
_space_group_IT_number 1
loop_
_space_group_symop_operation_xyz
'x,y,z'
loop_
_atom_site_label
_atom_site_type_symbol
_atom_site_fract_x
_atom_site_fract_y
_atom_site_fract_z
_atom_site_occupancy
Pb1 Pb 0.000 0.000 0.500 1
Tl1 Tl 0.500 0.500 0.500 1
Rh1 Rh 0.000 0.000 0.000 1
Hg1 Hg 0.000 0.500 0.000 1
Hg2 Hg 0.500 0.000 0.000 1
# Electronic total energy = -2.74 eV/atom
# Symmetry = P4/mmm
# DFT formation energy = 0.31 eV per formula unit

# 3
# Sc2CoSi2 | the Alexandria database | PBE-GGA | optimized geometry
data_Sc2CoSi2
_chemical_formula_sum 'Sc4 Co2 Si4'
_cell_length_a 4.516
_cell_length_b 4.516
_cell_length_c 9.362
_cell_angle_alpha 86.37
_cell_angle_beta 86.37
_cell_angle_gamma 56.53
_space_group_name_H-M_alt 'P 1'
_space_group_IT_number 1
loop_
_space_group_symop_operation_xyz
'x,y,z'
loop_
_atom_site_label
_atom_site_type_symbol
_atom_site_fract_x
_atom_site_fract_y
_atom_site_fract_z
_atom_site_occupancy
Sc1 Sc 0.213 0.213 0.211 1
Sc2 Sc 0.787 0.787 0.789 1
Sc3 Sc 0.847 0.847 0.430 1
Sc4 Sc 0.153 0.153 0.570 1
Co1 Co 0.589 0.589 0.096 1
Co2 Co 0.411 0.411 0.904 1
Si1 Si 0.529 0.529 0.347 1
Si2 Si 0.471 0.471 0.653 1
Si3 Si 0.888 0.888 0.086 1
Si4 Si 0.112 0.112 0.914 1
# Electronic total energy = -6.61 eV/atom
# Raw formation energy = -2.46 eV per formula unit
# Symmetry = C2/m